[1]
Here is crystalline CeTcGe2Pd at its relaxed geometry from Alexandria via LeMat-Bulk. Energies are from PBE-GGA.

```
CeTcGe2Pd
1.0
-2.1224 2.1224 5.2220
2.1224 -2.1224 5.2220
2.1224 2.1224 -5.2220
Ce Tc Ge Pd
1 1 2 1
direct
0.0000 0.0000 0.0000
0.2500 0.7500 0.5000
0.3761 0.3761 0.0000
0.6239 0.6239 0.0000
0.7500 0.2500 0.5000
```

Calculated density (Mg/m³): 8.64
ΔH_f (0 K) (eV/atom): -0.607



[2]
Here is crystalline Ce2ThGe2Pd2 at its relaxed geometry from Alexandria via LeMat-Bulk. Energies are from PBE-GGA.

```
Ce2ThGe2Pd2
1.0
2.2029 1.2718 9.0439
-2.2029 1.2718 9.0439
0.0000 -2.5437 9.0439
Ce Th Ge Pd
2 1 2 2
direct
0.1394 0.1394 0.1394
0.8606 0.8606 0.8606
0.0000 0.0000 0.0000
0.2604 0.2604 0.2604
0.7396 0.7396 0.7396
0.4069 0.4069 0.4069
0.5931 0.5931 0.5931
```

Calculated density (Mg/m³): 9.51
ΔH_f (0 K) (eV/atom): -0.764



[3]
Here is crystalline Ce2Th2Ge4Pd at its relaxed geometry from Alexandria via LeMat-Bulk. Energies are from PBE-GGA.

```
Ce2Th2Ge4Pd
1.0
-3.6066 3.6066 4.1614
3.6066 -3.6066 4.1614
3.6066 3.6066 -4.1614
Ce Th Ge Pd
2 2 4 1
direct
0.1703 0.1703 0.0000
0.8297 0.8297 0.0000
0.2500 0.7500 0.5000
0.7500 0.2500 0.5000
0.2570 0.2570 0.5140
0.2570 0.7430 0.0000
0.7430 0.2570 0.0000
0.7430 0.7430 0.4860
0.5000 0.5000 0.0000
```

Calculated density (Mg/m³): 8.75
ΔH_f (0 K) (eV/atom): -0.431



Computed density of states at the Fermi level, in the same sequence as the records: 6.05; 9.53; 11.40 states/eV/f.u..